# La4PrDy3, relaxed, DFT PBE-GGA
# E_tot in eV/f.u.: -38.0
# Excess energy over the best structure of this formula in the dataset in eV per atom: 0.000
# ΔE_f in kJ/mol of formula units: 26
data_La4PrDy3
_chemical_formula_sum 'La8 Pr2 Dy6'
_space_group_name_H-M_alt 'P 1'
_space_group_IT_number 1
_cell_length_a 6.4226
_cell_length_b 7.3970
_cell_length_c 11.7982
_cell_angle_alpha 90.00
_cell_angle_beta 90.00
_cell_angle_gamma 90.00
loop_
_space_group_symop_operation_xyz
'x,y,z'
loop_
_atom_site_label
_atom_site_type_symbol
_atom_site_fract_x
_atom_site_fract_y
_atom_site_fract_z
_atom_site_occupancy
La1 La 0.1420 0.8724 0.0000 1
La2 La 0.6604 0.1303 0.0000 1
La3 La 0.9784 0.1244 0.2570 1
La4 La 0.4784 0.8756 0.2430 1
La5 La 0.1604 0.8697 0.5000 1
La6 La 0.6420 0.1276 0.5000 1
La7 La 0.4784 0.8756 0.7570 1
La8 La 0.9784 0.1244 0.7430 1
Pr1 Pr 0.1494 0.3740 0.0000 1
Pr2 Pr 0.6494 0.6260 0.5000 1
Dy1 Dy 0.6477 0.6197 0.0000 1
Dy2 Dy 0.9795 0.6205 0.2498 1
Dy3 Dy 0.4795 0.3795 0.2502 1
Dy4 Dy 0.1477 0.3803 0.5000 1
Dy5 Dy 0.4795 0.3795 0.7498 1
Dy6 Dy 0.9795 0.6205 0.7502 1